Record 1
Below is a crystal of LiBeBr2 relaxed with PBEsol, with properties calculated at the meta-GGA SCAN level.

Unit cell a=3.3688 b=3.3688 c=6.7222 alpha=90.00 beta=90.00 gamma=90.00
Positions (direct):
Be (0.5000, 0.5000, 0.5000)
Br (0.0000, 0.0000, 0.7456)
Br (0.0000, 0.0000, 0.2544)
Li (0.5000, 0.5000, 0.0000)

Computed properties:
Theoretical density   3.826 g cm⁻³
Formation energy from raw total energies   -0.81 eV per formula unit
SG   No. 123

Record 2
Below is a crystal of LiBeBr2 relaxed with PBEsol, with properties calculated at the meta-GGA SCAN level.

Unit cell a=3.7259 b=3.7259 c=7.5765 alpha=75.77 beta=75.77 gamma=60.00
Positions (direct):
Be (0.0000, 0.0000, 0.0000)
Br (0.9022, 0.9022, 0.2934)
Br (0.0978, 0.0978, 0.7066)
Li (0.5000, 0.5000, 0.5000)

Computed properties:
Theoretical density   3.342 g cm⁻³
Formation energy from raw total energies   -2.27 eV per formula unit
SG   No. 166

Record 3
Below is a crystal of LiBeBr2 relaxed with PBEsol, with properties calculated at the meta-GGA SCAN level.

Unit cell a=3.4311 b=3.4311 c=10.2047 alpha=80.32 beta=80.32 gamma=60.00
Positions (direct):
Be (0.5000, 0.5000, 0.5000)
Br (0.8788, 0.8788, 0.3635)
Br (0.1212, 0.1212, 0.6365)
Li (0.0000, 0.0000, 0.0000)

Computed properties:
Theoretical density   2.860 g cm⁻³
Formation energy from raw total energies   -1.96 eV per formula unit
SG   No. 166

Number 1: DOS(E_F) 1.3 states/eV per cell. Number 2: DOS(E_F) 3.1 states/eV per cell. Number 3: DOS(E_F) 0.7 states/eV per cell.